# Cd2Hg7Pb PBE optimized geometry
# DFT total energy (eV/cell): -14.22
# Energy of formation from the pure elements (kJ per mole of atoms): 5.20
data_Cd2Hg7Pb
_cell_length_a 8.2555
_cell_length_b 22.2684
_cell_length_c 3.1464
_cell_angle_alpha 90.00
_cell_angle_beta 90.00
_cell_angle_gamma 90.00
_symmetry_space_group_name_H-M 'C m m m'
_symmetry_Int_Tables_number 65
_symmetry_space_group_name_Hall '-C 2 2'
loop_
_atom_site_label
_atom_site_type_symbol
_atom_site_fract_x
_atom_site_fract_y
_atom_site_fract_z
Cd1 Cd 0.0000 0.1861 0.0000
Hg1 Hg 0.0000 0.0000 0.0000
Hg2 Hg 0.0000 0.3033 0.5000
Hg3 Hg 0.2307 0.3998 0.0000
Pb1 Pb 0.0000 0.5000 0.5000